Entry 1:
Ac8Co3PtBr3: relaxed, PBE-GGA.

Unit cell a=8.598 b=8.598 c=9.458 alpha=116.94 beta=116.94 gamma=60.00
Sites, in units of the cell vectors:
Ac: 0.220 0.739 0.696
Ac: 0.232 0.232 0.695
Ac: 0.261 0.780 0.304
Ac: 0.262 0.262 0.305
Ac: 0.738 0.738 0.695
Ac: 0.739 0.220 0.696
Ac: 0.768 0.768 0.305
Ac: 0.780 0.261 0.304
Co: 0.000 0.000 0.500
Co: 0.000 0.500 0.500
Co: 0.500 0.000 0.500
Pt: 0.500 0.500 0.500
Br: 0.000 0.500 0.000
Br: 0.500 0.000 0.000
Br: 0.500 0.500 0.000

Calculated values
The calculation puts the volume at 516.04 Å³ per cell. As for the space group: C2/m. As for the formation energy from raw total energies: -741 meV/atom. Its total magnetic moment is 0.33 μB/cell.

Entry 2:
MgTcIr2: relaxed, PBE-GGA.

Unit cell a=4.391 b=4.391 c=4.391 alpha=60.00 beta=60.00 gamma=60.00
Sites, in units of the cell vectors:
Mg: 0.000 0.000 0.000
Tc: 0.250 0.250 0.250
Ir: 0.500 0.500 0.500
Ir: 0.750 0.750 0.750

Calculated values
The calculation puts the volume at 59.88 Å³ per cell. As for the space group: F-43m. The calculation puts the formation energy at 0.54 eV per formula unit. Its total magnetic moment is 0.85 μB/cell.

Entry 3:
Sr4BeW: relaxed, PBE-GGA.

Unit cell a=6.744 b=6.744 c=6.744 alpha=60.00 beta=60.00 gamma=60.00
Sites, in units of the cell vectors:
Sr: 0.125 0.125 0.125
Sr: 0.125 0.125 0.626
Sr: 0.125 0.626 0.125
Sr: 0.626 0.125 0.125
Be: 0.500 0.500 0.500
W: 0.750 0.750 0.750

Calculated values
The calculation puts the volume at 216.87 Å³ per cell. As for the space group: F-43m. The calculation puts the formation energy at 9.64 eV per formula unit. Its total magnetic moment is 3.80 μB/cell.